Record 1
A plane-wave DFT calculation with GGA-PBE was carried out for an optimized crystal structure of BaY3Hf.

POSCAR file:
```
BaY3Hf
1.0
5.5667 0.0000 0.0000
0.0000 5.5667 0.0000
0.0000 0.0000 5.5667
Ba Y Hf
1 3 1
Cartesian
0.0000 0.0000 0.0000 Ba
0.0000 0.0000 2.7834 Y
0.0000 2.7834 0.0000 Y
2.7834 0.0000 0.0000 Y
2.7834 2.7834 2.7834 Hf
```

energy of formation: 1361 meV/atom
N(E_F): 6.293 states/eV/f.u.
symmetry: Pm-3m



Record 2
A plane-wave DFT calculation with GGA-PBE was carried out for an optimized crystal structure of Ba2YHf.

POSCAR file:
```
Ba2YHf
1.0
9.6575 0.0000 0.0000
0.0000 9.6575 0.0000
0.0000 0.0000 6.7002
Ba Y Hf
8 4 4
Cartesian
2.1165 2.4144 0.8375 Ba
2.4144 6.9453 2.5126 Ba
2.4144 7.5410 5.8627 Ba
2.7122 2.4144 4.1876 Ba
6.9453 7.2432 4.1876 Ba
7.2432 2.1165 5.8627 Ba
7.2432 2.7122 2.5126 Ba
7.5410 7.2432 0.8375 Ba
0.0000 0.0000 3.3501 Y
0.0000 4.8288 5.0252 Y
4.8288 0.0000 1.6751 Y
4.8288 4.8288 0.0000 Y
0.0000 0.0000 0.0000 Hf
0.0000 4.8288 1.6751 Hf
4.8288 0.0000 5.0252 Hf
4.8288 4.8288 3.3501 Hf
```

energy of formation: 913 meV/atom
N(E_F): 7.802 states/eV/f.u.
symmetry: I-42d



Record 3
A plane-wave DFT calculation with GGA-PBE was carried out for an optimized crystal structure of BaHfZn.

POSCAR file:
```
BaHfZn
1.0
8.4210 0.0000 0.0000
0.0000 4.5782 0.0000
0.0000 0.0000 9.3968
Ba Hf Zn
4 4 4
Cartesian
0.2856 1.1445 1.5802 Ba
3.9249 3.4336 6.2786 Ba
4.4961 1.1445 3.1182 Ba
8.1354 3.4336 7.8166 Ba
0.8401 1.1445 5.1720 Hf
3.3704 3.4336 0.4736 Hf
5.0506 1.1445 8.9232 Hf
7.5809 3.4336 4.2248 Hf
1.7847 3.4336 3.5399 Zn
2.4258 1.1445 8.2383 Zn
5.9952 3.4336 1.1585 Zn
6.6363 1.1445 5.8569 Zn
```

energy of formation: 259 meV/atom
N(E_F): 3.331 states/eV/f.u.
symmetry: Pnma



Record 4
A plane-wave DFT calculation with GGA-PBE was carried out for an optimized crystal structure of Ba2Hf2Zn.

POSCAR file:
```
Ba2Hf2Zn
1.0
4.4311 0.0000 0.0000
0.0000 4.4311 0.0000
0.0000 0.0000 16.5120
Ba Hf Zn
4 4 2
Cartesian
0.0000 2.2156 4.1280 Ba
0.0000 2.2156 12.3840 Ba
2.2156 0.0000 4.1280 Ba
2.2156 0.0000 12.3840 Ba
0.0000 0.0000 1.2468 Hf
0.0000 0.0000 15.2651 Hf
2.2156 2.2156 7.0091 Hf
2.2156 2.2156 9.5028 Hf
0.0000 0.0000 8.2560 Zn
2.2156 2.2156 0.0000 Zn
```

energy of formation: 1213 meV/atom
N(E_F): 5.057 states/eV/f.u.
symmetry: I4/mmm



Record 5
A plane-wave DFT calculation with GGA-PBE was carried out for an optimized crystal structure of Ba2Hf2Zn.

POSCAR file:
```
Ba2Hf2Zn
1.0
7.3416 0.0000 0.0000
0.0000 7.3416 0.0000
0.0000 0.0000 5.7865
Ba Hf Zn
4 4 2
Cartesian
1.3019 2.3689 0.0000 Ba
2.3689 6.0397 0.0000 Ba
4.9727 1.3019 0.0000 Ba
6.0397 4.9727 0.0000 Ba
1.0395 4.7103 2.8933 Hf
2.6313 1.0395 2.8933 Hf
4.7103 6.3021 2.8933 Hf
6.3021 2.6313 2.8933 Hf
0.0000 0.0000 2.8933 Zn
3.6708 3.6708 2.8933 Zn
```

energy of formation: 569 meV/atom
N(E_F): 4.775 states/eV/f.u.
symmetry: P4/mbm



Record 6
A plane-wave DFT calculation with GGA-PBE was carried out for an optimized crystal structure of BaHf2Zn2.

POSCAR file:
```
BaHf2Zn2
1.0
8.6006 0.0000 0.0000
0.0000 8.6006 0.0000
0.0000 0.0000 3.0828
Ba Hf Zn
2 4 4
Cartesian
0.0000 0.0000 0.0000 Ba
4.3003 4.3003 0.0000 Ba
1.0539 3.2464 0.0000 Hf
3.2464 7.5467 0.0000 Hf
5.3542 1.0539 0.0000 Hf
7.5467 5.3542 0.0000 Hf
1.4590 5.7593 1.5414 Zn
2.8413 1.4590 1.5414 Zn
5.7593 7.1416 1.5414 Zn
7.1416 2.8413 1.5414 Zn
```

energy of formation: 170 meV/atom
N(E_F): 4.755 states/eV/f.u.
symmetry: P4/mbm



- energy of formation of number 6 (BaHf2Zn2)?
  170 meV/atom



- Which of these has the lowest energy of formation?
  BaHf2Zn2